DyZnPdPb: relaxed, PBE-GGA.

## Properties
The calculation puts the density at 10.7 Mg/m³. For the final energy, the calculation gives -4.1617 eV/atom. The value obtained for the formation energy is -0.467 eV per atom.

Cell lengths 6.9538, 6.9538, 6.9538 Å; angles 90.00, 90.00, 90.00 degrees
Last column: nearest neighbours and their distance in Å.
Positions (direct):
Dy  0.0000  0.0000  0.0000  4 Pd 3.01, 4 Zn 3.01
Dy  0.0000  0.5000  0.5000  4 Pd 3.01, 4 Zn 3.01
Dy  0.5000  0.0000  0.5000  4 Pd 3.01, 4 Zn 3.01
Dy  0.5000  0.5000  0.0000  4 Pd 3.01, 4 Zn 3.01
Zn  0.2500  0.2500  0.2500  4 Dy 3.01, 4 Pb 3.01
Zn  0.2500  0.7500  0.7500  4 Dy 3.01, 4 Pb 3.01
Zn  0.7500  0.2500  0.7500  4 Dy 3.01, 4 Pb 3.01
Zn  0.7500  0.7500  0.2500  4 Dy 3.01, 4 Pb 3.01
Pd  0.2500  0.2500  0.7500  4 Pb 3.01, 4 Dy 3.01
Pd  0.2500  0.7500  0.2500  4 Pb 3.01, 4 Dy 3.01
Pd  0.7500  0.2500  0.2500  4 Pb 3.01, 4 Dy 3.01
Pd  0.7500  0.7500  0.7500  4 Pb 3.01, 4 Dy 3.01
Pb  0.0000  0.0000  0.5000  4 Zn 3.01, 4 Pd 3.01
Pb  0.0000  0.5000  0.0000  4 Zn 3.01, 4 Pd 3.01
Pb  0.5000  0.0000  0.0000  4 Zn 3.01, 4 Pd 3.01
Pb  0.5000  0.5000  0.5000  4 Zn 3.01, 4 Pd 3.01

=====

Sr4PtAu: relaxed, PBE-GGA.

## Properties
The calculation puts the density at 5.7 Mg/m³. As for the polymorph energy (0 for the lowest one): 0.0 meV/atom. For the final energy, the calculation gives -3.2708 eV/atom. The value obtained for the formation energy is -0.597 eV per atom.

Cell lengths 7.5350, 7.5350, 9.2421 Å; angles 113.94, 113.94, 89.99 degrees
Last column: nearest neighbours and their distance in Å.
Positions (direct):
Sr  0.1281  0.6300  0.7580  2 Pt 3.22-3.24, 2 Au 3.30-3.31
Sr  0.1301  0.1301  0.7578  2 Pt 3.23-3.24, 2 Au 3.30
Sr  0.3700  0.8719  0.2420  2 Pt 3.22-3.24, 2 Au 3.30-3.31
Sr  0.3721  0.3721  0.2423  2 Pt 3.22-3.25, 2 Au 3.30
Sr  0.6279  0.6279  0.7577  2 Pt 3.22-3.25, 2 Au 3.30
Sr  0.6300  0.1281  0.7580  2 Pt 3.22-3.24, 2 Au 3.30-3.31
Sr  0.8699  0.8699  0.2422  2 Pt 3.23-3.24, 2 Au 3.30
Sr  0.8719  0.3700  0.2420  2 Pt 3.22-3.24, 2 Au 3.30-3.31
Pt  0.0000  0.0000  0.0000  8 Sr 3.22-3.25
Pt  0.5000  0.5000  0.0000  8 Sr 3.22-3.24
Au  0.2500  0.7500  0.5000  8 Sr 3.30-3.31
Au  0.7500  0.2500  0.5000  8 Sr 3.30-3.31